[1]
Computed, not measured: a relaxed structure of YFeOs2 at the GGA-PBE level of DFT.

Properties
DFT formation energy   0.2790 eV per atom
Calculated total energy   -36.3 eV per cell
Crystal system   orthorhombic
Distance to the lowest polymorph of the same formula   46.6 meV/atom
Symmetry   Pmm2

abc: 2.8629 3.7096 6.4180
angles: 90.00 90.00 90.00
Last column: nearest neighbours and their distance in Å.
Element x y z (fractional)
Y 0.0000 0.0000 0.5049  2 Y 2.86, 4 Fe 3.02, 4 Os 3.10
Os 0.5000 0.5000 0.1889  1 Fe 2.49, 4 Os 2.62
Os 0.0000 0.0000 0.0047  6 Os 2.62-2.86, 4 Fe 2.68
Fe 0.5000 0.5000 0.8015  5 Os 2.49-2.68


[2]
Computed, not measured: a relaxed structure of MgTa2ZnTc at the GGA-PBE level of DFT.

Properties
DFT formation energy   1.3231 eV per atom
Calculated total energy   -30.3 eV per cell
Crystal system   tetragonal
Symmetry   P4/mmm

abc: 4.7289 4.3649 4.7289
angles: 90.00 90.00 90.00
Last column: nearest neighbours and their distance in Å.
Element x y z (fractional)
Zn 0.0000 0.0000 0.0000  2 Mg 2.18, 4 Ta 2.36
Tc 0.5000 0.5000 0.5000  8 Ta 3.22, 4 Mg 3.34
Ta 0.0000 0.0000 0.5000  2 Zn 2.36
Ta 0.5000 0.0000 0.0000  2 Zn 2.36
Mg 0.0000 0.5000 0.0000  2 Zn 2.18


[3]
Computed, not measured: a relaxed structure of Cs3Ag at the GGA-PBE level of DFT.

Properties
DFT formation energy   0.1542 eV per atom
Calculated total energy   -4.8 eV per cell
Crystal system   cubic
Distance to the lowest polymorph of the same formula   107.0 meV/atom
Symmetry   Fm-3m

abc: 7.1942 7.1942 7.1942
angles: 60.00 60.00 60.00
Last column: nearest neighbours and their distance in Å.
Element x y z (fractional)
Cs 0.0000 0.0000 0.0000  8 Cs 4.41
Cs 0.7500 0.7500 0.7500  4 Ag 4.41, 4 Cs 4.41
Cs 0.2500 0.2500 0.2500  4 Cs 4.41, 4 Ag 4.41
Ag 0.5000 0.5000 0.5000  8 Cs 4.41


[4]
Computed, not measured: a relaxed structure of Tl13Pb2 at the GGA-PBE level of DFT.

Properties
DFT formation energy   0.1515 eV per atom
Calculated total energy   -35.9 eV per cell
Crystal system   trigonal
Distance to the lowest polymorph of the same formula   140.3 meV/atom
Symmetry   R-3m

abc: 9.1194 9.1194 9.5737
angles: 61.56 61.56 60.00
Last column: nearest neighbours and their distance in Å.
Element x y z (fractional)
Tl 0.2577 0.2577 0.5881  8 Tl 3.29-3.65
Tl 0.1368 0.5226 0.8180  7 Tl 3.15-3.52, 1 Pb 3.23
Tl 0.5000 0.5000 0.5000  12 Tl 3.25-3.44
Tl 0.7423 0.1035 0.4119  8 Tl 3.29-3.65
Tl 0.5226 0.5226 0.8180  7 Tl 3.15-3.52, 1 Pb 3.23
Tl 0.4774 0.8632 0.1820  7 Tl 3.15-3.52, 1 Pb 3.23
Tl 0.5226 0.1368 0.8180  7 Tl 3.15-3.52, 1 Pb 3.23
Tl 0.4774 0.4774 0.1820  7 Tl 3.15-3.52, 1 Pb 3.23
Tl 0.2577 0.8965 0.5881  8 Tl 3.29-3.65
Tl 0.1035 0.7423 0.4119  8 Tl 3.29-3.65
Tl 0.8632 0.4774 0.1820  7 Tl 3.15-3.52, 1 Pb 3.23
Tl 0.7423 0.7423 0.4119  8 Tl 3.29-3.65
Tl 0.8965 0.2577 0.5881  8 Tl 3.29-3.65
Pb 0.7263 0.7263 0.8212  6 Tl 3.23-3.53
Pb 0.2737 0.2737 0.1788  6 Tl 3.23-3.53


[5]
Computed, not measured: a relaxed structure of TlB2Pd at the GGA-PBE level of DFT.

Properties
DFT formation energy   0.6477 eV per atom
Calculated total energy   -36.6 eV per cell
Crystal system   tetragonal
Distance to the lowest polymorph of the same formula   0.0 meV/atom
Symmetry   I4_1/amd

abc: 3.9094 3.9094 8.2422
angles: 76.28 76.28 90.00
Last column: nearest neighbours and their distance in Å.
Element x y z (fractional)
B 0.3750 0.6250 0.2500  2 B 1.95, 2 Pd 2.17
B 0.3750 0.6250 0.7500  2 B 1.95, 2 Pd 2.17
B 0.8750 0.6250 0.7500  2 B 1.95, 2 Pd 2.17
B 0.3750 0.1250 0.2500  2 B 1.95, 2 Pd 2.17
Tl 0.0000 0.0000 0.0000  4 Pd 2.76, 8 B 2.92
Tl 0.7500 0.2500 0.5000  4 Pd 2.76, 8 B 2.92
Pd 0.2500 0.7500 0.5000  4 B 2.17
Pd 0.5000 0.5000 0.0000  4 B 2.17


[6]
Computed, not measured: a relaxed structure of InCoNi2C at the GGA-PBE level of DFT.

Properties
DFT formation energy   -0.0148 eV per atom
Calculated total energy   -30.7 eV per cell
Crystal system   tetragonal
Symmetry   P4/mmm

abc: 3.8868 3.8868 3.8089
angles: 90.00 90.00 90.00
Last column: nearest neighbours and their distance in Å.
Element x y z (fractional)
Ni 0.5000 0.0000 0.0000  2 C 1.94
Ni 0.0000 0.5000 0.0000  2 C 1.94
C 0.0000 0.0000 0.0000  2 Co 1.90, 4 Ni 1.94
In 0.5000 0.5000 0.5000  8 Ni 2.72, 4 Co 2.75
Co 0.0000 0.0000 0.5000  2 C 1.90